No. 1
PBE-GGA SrLi2Cr, optimized geometry; polymorph energy (0 for the lowest one) = 0.002 eV/atom; space group = P4mm, No. 99
1.0
3.778 0.000 0.000
0.000 3.778 0.000
0.000 0.000 7.486
Sr Li Cr
1 2 1
Direct
0.000 0.000 0.000
0.000 0.000 0.473
0.500 0.500 0.669
0.500 0.500 0.290


No. 2
PBE-GGA SrLiCr2, optimized geometry; polymorph energy (0 for the lowest one) = 0.454 eV/atom; space group = C2/m, No. 12
1.0
6.199 0.000 0.000
0.000 10.408 0.000
-1.282 0.000 3.001
Sr Li Cr
2 2 4
Direct
0.000 0.000 0.000
0.500 0.500 0.000
0.000 0.500 0.000
0.500 0.000 0.000
0.250 0.250 0.500
0.250 0.750 0.500
0.750 0.250 0.500
0.750 0.750 0.500


No. 3
PBE-GGA SrLiCr2, optimized geometry; polymorph energy (0 for the lowest one) = 0.124 eV/atom; space group = Imm2, No. 44
1.0
4.327 0.000 0.000
0.000 5.379 0.000
0.000 0.000 7.936
Sr Li Cr
2 2 4
Direct
0.000 0.000 0.000
0.500 0.500 0.500
0.000 0.500 0.211
0.500 0.000 0.711
0.000 0.000 0.460
0.000 0.500 0.787
0.500 0.000 0.287
0.500 0.500 0.960


No. 4
PBE-GGA SrLi2Cr, optimized geometry; polymorph energy (0 for the lowest one) = 0.022 eV/atom; space group = I-4m2, No. 119
1.0
4.847 0.000 0.000
0.000 4.847 0.000
0.000 0.000 9.112
Sr Li Cr
2 4 2
Direct
0.000 0.000 0.000
0.500 0.500 0.500
0.000 0.000 0.500
0.000 0.500 0.250
0.500 0.000 0.750
0.500 0.500 0.000
0.000 0.500 0.750
0.500 0.000 0.250


No. 5
PBE-GGA SrLi4Cr, optimized geometry; space group = F-43m, No. 216
1.0
0.000 4.132 4.132
4.132 0.000 4.132
4.132 4.132 0.000
Sr Li Cr
1 4 1
Direct
0.000 0.000 0.000
0.378 0.378 0.378
0.378 0.378 0.865
0.378 0.865 0.378
0.865 0.378 0.378
0.750 0.750 0.750


No. 6
PBE-GGA SrLiCr2, optimized geometry; polymorph energy (0 for the lowest one) = 0.011 eV/atom; space group = Pm, No. 6
1.0
3.299 0.000 0.000
0.000 3.325 0.000
-0.008 0.000 8.029
Sr Li Cr
1 1 2
Direct
0.000 0.000 0.000
0.500 0.500 0.355
0.000 0.000 0.580
0.500 0.500 0.695


Number 1: volume 107 Å³ per cell, energy relative to the elements 0.446 eV per atom. Number 2: volume 194 Å³ per cell, energy relative to the elements 0.967 eV per atom. Number 3: volume 185 Å³ per cell, energy relative to the elements 0.638 eV per atom. Number 4: volume 214 Å³ per cell, energy relative to the elements 0.466 eV per atom. Number 5: volume 141 Å³ per cell, energy relative to the elements 0.271 eV per atom. Number 6: volume 88 Å³ per cell, energy relative to the elements 0.525 eV per atom.